*i*
Compound: Zn3IrSe
Source: Alexandria via LeMat-Bulk
Functional: PBE
Structure: relaxed

Cell: 4.798 4.798 4.798 Å, 90.00 90.00 90.00°
Space group Pm-3m (No. 221)
Inequivalent atoms, fractional coordinates:
Zn  0.000  0.000  0.500 (multiplicity 3)
Ir  0.000  0.000  0.000 (multiplicity 1)
Se  0.500  0.500  0.500 (multiplicity 1)

Results
Magnetization   0.00 μB per cell

***

*ii*
Compound: Zn3IrSe
Source: Alexandria via LeMat-Bulk
Functional: PBE
Structure: relaxed

Cell: 4.687 4.687 4.687 Å, 90.00 90.00 90.00°
Space group Pm-3m (No. 221)
Inequivalent atoms, fractional coordinates:
Zn  0.000  0.000  0.500 (multiplicity 3)
Ir  0.500  0.500  0.500 (multiplicity 1)
Se  0.000  0.000  0.000 (multiplicity 1)

Results
Magnetization   0.00 μB per cell

***

If we sort the structures by their calculated energies, the order from most to least stable is *i*, *ii*.

***

*i*
Compound: ZrIrSe2
Source: Alexandria via LeMat-Bulk
Functional: PBE
Structure: relaxed

Cell: 3.729 3.630 6.890 Å, 90.00 96.93 90.00°
Space group Pm (No. 6)
Inequivalent atoms, fractional coordinates:
Zr  0.000  0.000  0.000 (multiplicity 1)
Ir  0.399  0.500  0.823 (multiplicity 1)
Se  0.102  0.000  0.618 (multiplicity 1)
Se  0.540  0.500  0.187 (multiplicity 1)

Results
Magnetization   0.00 μB per cell

***

*ii*
Compound: ZrIrSe2
Source: Alexandria via LeMat-Bulk
Functional: PBE
Structure: relaxed

Cell: 3.702 4.293 12.989 Å, 90.00 90.00 90.00°
Space group Immm (No. 71)
Inequivalent atoms, fractional coordinates:
Zr  0.000  0.000  0.000 (multiplicity 2)
Ir  0.000  0.000  0.500 (multiplicity 2)
Se  0.000  0.500  0.135 (multiplicity 4)

Results
Magnetization   0.00 μB per cell

***

If we sort the structures by their calculated energies, the order from most to least stable is *ii*, *i*.

***

*i*
Compound: ZrIrSe2
Source: Alexandria via LeMat-Bulk
Functional: PBE
Structure: relaxed

Cell: 13.216 3.481 4.376 Å, 90.00 97.60 90.00°
Space group C2/m (No. 12)
Inequivalent atoms, fractional coordinates:
Zr  0.000  0.000  0.000 (multiplicity 2)
Ir  0.000  0.500  0.500 (multiplicity 2)
Se  0.152  0.500  0.236 (multiplicity 4)

Results
Magnetization   0.00 μB per cell

***

*ii*
Compound: ZrIrSe2
Source: Alexandria via LeMat-Bulk
Functional: PBE
Structure: relaxed

Cell: 3.498 3.734 12.716 Å, 90.00 90.00 90.00°
Space group Imm2 (No. 44)
Inequivalent atoms, fractional coordinates:
Zr  0.000  0.000  0.000 (multiplicity 2)
Ir  0.000  0.500  0.671 (multiplicity 2)
Se  0.000  0.000  0.402 (multiplicity 2)
Se  0.000  0.500  0.158 (multiplicity 2)

Results
Magnetization   0.00 μB per cell

***

*iii*
Compound: ZrIrSe2
Source: Alexandria via LeMat-Bulk
Functional: PBE
Structure: relaxed

Cell: 6.255 6.666 3.934 Å, 90.00 90.00 90.00°
Space group Cmmm (No. 65)
Inequivalent atoms, fractional coordinates:
Zr  0.000  0.000  0.000 (multiplicity 2)
Ir  0.000  0.500  0.000 (multiplicity 2)
Se  0.000  0.271  0.500 (multiplicity 4)

Results
Magnetization   0.00 μB per cell

***

If we sort the structures by their calculated energies, the order from most to least stable is *ii*, *i*, *iii*.

***

*i*
Compound: ZrIrSe2
Source: Alexandria via LeMat-Bulk
Functional: PBE
Structure: relaxed

Cell: 4.612 4.612 15.807 Å, 90.00 90.00 90.00°
Space group I-42d (No. 122)
Inequivalent atoms, fractional coordinates:
Zr  0.000  0.000  0.000 (multiplicity 4)
Ir  0.000  0.000  0.500 (multiplicity 4)
Se  0.226  0.250  0.625 (multiplicity 8)

Results
Magnetization   0.00 μB per cell

***

*ii*
Compound: ZrIrSe2
Source: Alexandria via LeMat-Bulk
Functional: PBE
Structure: relaxed

Cell: 9.968 3.566 4.660 Å, 90.00 96.06 90.00°
Space group Cm (No. 8)
Inequivalent atoms, fractional coordinates:
Zr  0.000  0.000  0.000 (multiplicity 2)
Ir  0.291  0.000  0.811 (multiplicity 2)
Se  0.238  0.500  0.140 (multiplicity 2)
Se  0.491  0.000  0.542 (multiplicity 2)

Results
Magnetization   0.00 μB per cell

***

If we sort the structures by their calculated energies, the order from most to least stable is *ii*, *i*.

***

*i*
Compound: ZrIrSe2
Source: Alexandria via LeMat-Bulk
Functional: PBE
Structure: relaxed

Cell: 4.474 4.474 3.459 Å, 90.00 90.00 90.00°
Space group P4/mmm (No. 123)
Inequivalent atoms, fractional coordinates:
Zr  0.000  0.000  0.000 (multiplicity 1)
Ir  0.500  0.500  0.000 (multiplicity 1)
Se  0.000  0.500  0.500 (multiplicity 2)

Results
Magnetization   0.00 μB per cell

***

*ii*
Compound: ZrIrSe2
Source: Alexandria via LeMat-Bulk
Functional: PBE
Structure: relaxed

Cell: 5.504 6.430 8.793 Å, 90.00 90.00 90.00°
Space group Fmmm (No. 69)
Inequivalent atoms, fractional coordinates:
Zr  0.000  0.000  0.000 (multiplicity 4)
Ir  0.000  0.000  0.500 (multiplicity 4)
Se  0.000  0.250  0.250 (multiplicity 8)

Results
Magnetization   0.00 μB per cell

***

*iii*
Compound: ZrIrSe2
Source: Alexandria via LeMat-Bulk
Functional: PBE
Structure: relaxed

Cell: 3.9944 3.9944 21.2743 Å, 90.00 90.00 120.00°
Space group R3m (No. 160, hexagonal axes)
Inequivalent atoms, fractional coordinates:
Zr  0.0000  0.0000  0.0000 (multiplicity 3)
Ir  0.0000  0.0000  0.7453 (multiplicity 3)
Se  0.0000  0.0000  0.2619 (multiplicity 3)
Se  0.0000  0.0000  0.4418 (multiplicity 3)

Results
Magnetization   0.00 μB per cell

***

*iv*
Compound: ZrIrSe2
Source: Alexandria via LeMat-Bulk
Functional: PBE
Structure: relaxed

Cell: 6.680 6.680 6.680 Å, 90.00 90.00 90.00°
Space group F-43m (No. 216)
Inequivalent atoms, fractional coordinates:
Zr  0.000  0.000  0.000 (multiplicity 4)
Ir  0.250  0.250  0.250 (multiplicity 4)
Se  0.000  0.000  0.500 (multiplicity 4)
Se  0.250  0.250  0.750 (multiplicity 4)

Results
Magnetization   0.00 μB per cell

***

If we sort the structures by their calculated energies, the order from most to least stable is *iii*, *i*, *ii*, *iv*.

***

*i*
Compound: ZrIrSe2
Source: Alexandria via LeMat-Bulk
Functional: PBE
Structure: relaxed

Cell: 6.558 6.558 6.558 Å, 90.00 90.00 90.00°
Space group Fm-3m (No. 225)
Inequivalent atoms, fractional coordinates:
Zr  0.000  0.000  0.000 (multiplicity 4)
Ir  0.000  0.000  0.500 (multiplicity 4)
Se  0.250  0.250  0.250 (multiplicity 8)

Results
Magnetization   0.00 μB per cell

***

*ii*
Compound: ZrIrSe2
Source: Alexandria via LeMat-Bulk
Functional: PBE
Structure: relaxed

Cell: 3.3381 3.3381 25.5115 Å, 90.00 90.00 120.00°
Space group R-3m (No. 166, hexagonal axes)
Inequivalent atoms, fractional coordinates:
Zr  0.0000  0.0000  0.0000 (multiplicity 3)
Ir  0.0000  0.0000  0.5000 (multiplicity 3)
Se  0.0000  0.0000  0.4066 (multiplicity 6)

Results
Magnetization   0.00 μB per cell

***

*iii*
Compound: ZrIrSe2
Source: Alexandria via LeMat-Bulk
Functional: PBE
Structure: relaxed

Cell: 3.892 3.892 9.447 Å, 90.00 90.00 90.00°
Space group I-4m2 (No. 119)
Inequivalent atoms, fractional coordinates:
Zr  0.000  0.000  0.000 (multiplicity 2)
Ir  0.000  0.500  0.750 (multiplicity 2)
Se  0.000  0.000  0.500 (multiplicity 2)
Se  0.000  0.500  0.250 (multiplicity 2)

Results
Magnetization   0.00 μB per cell

***

*iv*
Compound: ZrIrSe2
Source: Alexandria via LeMat-Bulk
Functional: PBE
Structure: relaxed

Cell: 3.627 3.627 6.371 Å, 90.00 90.00 90.00°
Space group P4mm (No. 99)
Inequivalent atoms, fractional coordinates:
Zr  0.000  0.000  0.000 (multiplicity 1)
Ir  0.500  0.500  0.223 (multiplicity 1)
Se  0.000  0.000  0.400 (multiplicity 1)
Se  0.500  0.500  0.829 (multiplicity 1)

Results
Magnetization   0.00 μB per cell

***

If we sort the structures by their calculated energies, the order from most to least stable is *iv*, *iii*, *i*, *ii*.

***

*i*
Compound: Zr2IrSe2
Source: Alexandria via LeMat-Bulk
Functional: PBE
Structure: relaxed

Cell: 7.441 7.441 3.525 Å, 90.00 90.00 90.00°
Space group P4/mbm (No. 127)
Inequivalent atoms, fractional coordinates:
Zr  0.158  0.342  0.000 (multiplicity 4)
Ir  0.000  0.000  0.000 (multiplicity 2)
Se  0.141  0.641  0.500 (multiplicity 4)

Results
Magnetization   0.00 μB per cell

***

*ii*
Compound: Zr2IrSe2
Source: Alexandria via LeMat-Bulk
Functional: PBE
Structure: relaxed

Cell: 3.733 3.733 14.437 Å, 90.00 90.00 90.00°
Space group I4/mmm (No. 139)
Inequivalent atoms, fractional coordinates:
Zr  0.000  0.000  0.103 (multiplicity 4)
Ir  0.000  0.000  0.500 (multiplicity 2)
Se  0.000  0.500  0.250 (multiplicity 4)

Results
Magnetization   0.00 μB per cell

***

If we sort the structures by their calculated energies, the order from most to least stable is *i*, *ii*.

***

*i*
Compound: SiIr5
Source: Alexandria via LeMat-Bulk
Functional: PBE
Structure: relaxed

Cell: 9.488 2.751 7.011 Å, 90.00 110.37 90.00°
Space group Cm (No. 8)
Inequivalent atoms, fractional coordinates:
Si  0.000  0.000  0.000 (multiplicity 2)
Ir  0.101  0.500  0.780 (multiplicity 2)
Ir  0.133  0.500  0.308 (multiplicity 2)
Ir  0.311  0.000  0.684 (multiplicity 2)
Ir  0.316  0.000  0.090 (multiplicity 2)
Ir  0.439  0.500  0.447 (multiplicity 2)

Results
Magnetization   0.00 μB per cell

***

*ii*
Compound: SiIr5
Source: Alexandria via LeMat-Bulk
Functional: PBE
Structure: relaxed

Cell: 2.794 2.794 10.858 Å, 90.00 90.00 90.00°
Space group P4/mmm (No. 123)
Inequivalent atoms, fractional coordinates:
Si  0.000  0.000  0.000 (multiplicity 1)
Ir  0.000  0.000  0.329 (multiplicity 2)
Ir  0.500  0.500  0.140 (multiplicity 2)
Ir  0.500  0.500  0.500 (multiplicity 1)

Results
Magnetization   0.00 μB per cell

***

*iii*
Compound: SiIr5
Source: Alexandria via LeMat-Bulk
Functional: PBE
Structure: relaxed

Cell: 3.866 11.515 3.833 Å, 90.00 90.00 90.00°
Space group Cmmm (No. 65)
Inequivalent atoms, fractional coordinates:
Si  0.000  0.000  0.000 (multiplicity 2)
Ir  0.000  0.164  0.500 (multiplicity 4)
Ir  0.000  0.334  0.000 (multiplicity 4)
Ir  0.000  0.500  0.500 (multiplicity 2)

Results
Magnetization   0.00 μB per cell

***

*iv*
Compound: SiIr5
Source: Alexandria via LeMat-Bulk
Functional: PBE
Structure: relaxed

Cell: 7.270 7.270 7.270 Å, 90.00 90.00 90.00°
Space group F-43m (No. 216)
Inequivalent atoms, fractional coordinates:
Si  0.000  0.000  0.000 (multiplicity 4)
Ir  0.125  0.125  0.375 (multiplicity 16)
Ir  0.250  0.250  0.750 (multiplicity 4)

Results
Magnetization   0.02 μB per cell

***

If we sort the structures by their calculated energies, the order from most to least stable is *ii*, *i*, *iii*, *iv*.

***

*i*
Compound: Si2Ir3
Source: Alexandria via LeMat-Bulk
Functional: PBE
Structure: relaxed

Cell: 4.0354 4.0354 5.4398 Å, 90.00 90.00 120.00°
Space group P-6m2 (No. 187)
Inequivalent atoms, fractional coordinates:
Si  0.0000  0.0000  0.0000 (multiplicity 1)
Si  0.3333  0.6667  0.5000 (multiplicity 1)
Ir  0.3333  0.6667  0.0000 (multiplicity 1)
Ir  0.6667  0.3333  0.2653 (multiplicity 2)

Results
Magnetization   0.00 μB per cell

***

*ii*
Compound: Si2Ir3
Source: Alexandria via LeMat-Bulk
Functional: PBE
Structure: relaxed

Cell: 2.919 2.919 16.129 Å, 90.00 90.00 90.00°
Space group I4/mmm (No. 139)
Inequivalent atoms, fractional coordinates:
Si  0.000  0.000  0.101 (multiplicity 4)
Ir  0.000  0.000  0.318 (multiplicity 4)
Ir  0.000  0.000  0.500 (multiplicity 2)

Results
Magnetization   0.00 μB per cell

***

If we sort the structures by their calculated energies, the order from most to least stable is *ii*, *i*.